Entry 1:
12
Lattice="-6.684 -7.582 8.246 6.237 -5.315 -10.149 3.090 -0.420 2.119" Properties=species:S:1:pos:R:3 comment="PBE RbFe, optimized geometry" e_form_mev_per_atom=1061.3 density_g_cm3=2.5 de_polymorph_mev_per_atom=353 e_tot_ev_per_fu=-7.31 spacegroup="P6_3/mmc (194)" pbc="T T T"
Rb -0.711 -4.366 1.849
Rb 5.866 -6.101 -4.732
Rb 3.355 -8.951 -1.634
Rb -0.879 -9.213 1.134
Rb 3.523 -4.104 -0.918
Rb -3.223 -7.215 4.948
Fe 3.699 -3.315 -4.374
Fe -0.868 -4.597 5.387
Fe 0.898 -6.492 -0.918
Fe 3.512 -8.720 -5.171
Fe -1.055 -10.002 4.590
Fe 1.746 -6.824 1.134



Entry 2:
16
Lattice="-4.733 -2.360 -2.472 -2.608 -7.751 12.392 -3.807 5.119 2.401" Properties=species:S:1:pos:R:3 comment="PBE RbFe, optimized geometry" e_form_mev_per_atom=1005.2 density_g_cm3=3.2 de_polymorph_mev_per_atom=297 e_tot_ev_per_fu=-7.42 spacegroup="Cmcm (63)" pbc="T T T"
Fe -4.097 0.425 0.545
Fe -2.873 -1.221 -0.226
Fe -3.380 -0.362 6.815
Fe -4.603 1.284 7.587
Fe -1.811 -3.916 7.206
Fe -8.273 -3.771 12.547
Fe -7.050 -5.417 11.776
Fe -3.035 -2.270 7.978
Rb -5.210 -5.522 8.353
Rb -3.389 -5.965 12.184
Rb -4.875 -2.165 11.400
Rb -1.539 -0.467 3.393
Rb -6.695 -1.722 7.569
Rb -4.452 -3.270 4.752
Rb -3.025 3.334 2.609
Rb -5.937 0.531 3.968



Entry 3:
8
Lattice="7.234 0.000 0.000 0.000 7.234 0.000 0.000 0.000 6.967" Properties=species:S:1:pos:R:3 comment="PBE RbFe, optimized geometry" e_form_mev_per_atom=1275.5 density_g_cm3=2.6 de_polymorph_mev_per_atom=567 e_tot_ev_per_fu=-6.88 spacegroup="P4_2/mnm (136)" pbc="T T T"
Fe 6.488 6.488 3.484
Fe 0.746 0.746 3.484
Fe 2.871 4.363 0.000
Fe 4.363 2.871 0.000
Rb 1.291 1.291 0.000
Rb 2.326 4.908 3.484
Rb 5.943 5.943 0.000
Rb 4.908 2.326 3.484



Entry 4:
12
Lattice="-2.931 0.322 3.009 4.197 -12.522 5.430 4.926 3.566 4.417" Properties=species:S:1:pos:R:3 comment="PBE RbFe, optimized geometry" e_form_mev_per_atom=821.8 density_g_cm3=3.1 de_polymorph_mev_per_atom=114 e_tot_ev_per_fu=-7.79 spacegroup="Amm2 (38)" pbc="T T T"
Fe 4.871 -9.587 8.721
Fe 1.335 0.963 4.146
Fe 2.105 -6.256 2.721
Fe 0.970 -7.082 4.653
Fe 2.470 1.788 2.214
Fe 0.309 -5.109 3.797
Rb 2.274 -2.225 2.453
Rb 3.455 3.724 5.916
Rb 6.836 -6.703 7.377
Rb 4.383 -8.517 5.181
Rb 4.747 -0.472 4.675
Rb 3.091 -4.321 6.423



Entry 5:
5
Lattice="4.779 0.000 0.000 0.000 4.779 0.000 0.000 0.000 4.779" Properties=species:S:1:pos:R:3 comment="PBE RbFe3Re, optimized geometry" e_form_mev_per_atom=1423.2 density_g_cm3=6.7 de_polymorph_mev_per_atom=0 e_tot_ev_per_fu=-31.69 spacegroup="Pm-3m (221)" pbc="T T T"
Fe 0.000 0.000 2.389
Fe 0.000 2.389 0.000
Fe 2.389 0.000 0.000
Re 0.000 0.000 0.000
Rb 2.389 2.389 2.389



Entry 6:
4
Lattice="4.414 0.623 0.331 1.692 2.178 3.517 2.345 -2.223 3.088" Properties=species:S:1:pos:R:3 comment="PBE RbFe2Re, optimized geometry" e_form_mev_per_atom=1954.8 density_g_cm3=10.1 de_polymorph_mev_per_atom=286 e_tot_ev_per_fu=-22.52 spacegroup="Fm-3m (225)" pbc="T T T"
Re 4.226 0.289 3.468
Fe 2.113 0.144 1.734
Fe 6.339 0.433 5.202
Rb 0.000 0.000 0.000



Entry 7:
5
Lattice="4.282 0.000 0.000 0.000 4.282 0.000 0.000 0.000 4.282" Properties=species:S:1:pos:R:3 comment="PBE RbFe3Re, optimized geometry" e_form_mev_per_atom=3345.1 density_g_cm3=9.3 de_polymorph_mev_per_atom=1922 e_tot_ev_per_fu=-22.08 spacegroup="Pm-3m (221)" pbc="T T T"
Fe 2.141 0.000 0.000
Fe 0.000 2.141 0.000
Fe 0.000 0.000 2.141
Rb 0.000 0.000 0.000
Re 2.141 2.141 2.141



Entry 8:
4
Lattice="2.647 -1.004 5.139 -0.339 3.976 4.301 -3.209 -1.118 4.783" Properties=species:S:1:pos:R:3 comment="PBE Rb2FeRe, optimized geometry" e_form_mev_per_atom=2227.1 density_g_cm3=4.8 de_polymorph_mev_per_atom=668 e_tot_ev_per_fu=-13.94 spacegroup="Fm-3m (225)" pbc="T T T"
Rb -0.676 1.390 10.667
Rb -0.225 0.463 3.556
Fe 0.000 0.000 0.000
Re -0.450 0.927 7.111



Entry 9:
5
Lattice="6.589 0.000 0.000 0.000 6.589 0.000 0.000 0.000 6.589" Properties=species:S:1:pos:R:3 comment="PBE Rb3FeRe, optimized geometry" e_form_mev_per_atom=2061.7 density_g_cm3=2.9 e_tot_ev_per_fu=-13.51 spacegroup="Pm-3m (221)" pbc="T T T"
Fe 3.294 3.294 3.294
Rb 3.294 0.000 0.000
Rb 0.000 0.000 3.294
Rb 0.000 3.294 0.000
Re 0.000 0.000 0.000



Entry 10:
8
Lattice="7.113 0.000 0.000 0.000 7.113 0.000 3.556 3.556 3.364" Properties=species:S:1:pos:R:3 comment="PBE RbFe2Re, optimized geometry" e_form_mev_per_atom=1668.9 density_g_cm3=7.5 de_polymorph_mev_per_atom=0 e_tot_ev_per_fu=-23.67 spacegroup="I-42d (122)" pbc="T T T"
Fe 8.891 9.519 2.523
Fe 1.150 5.335 0.841
Fe 5.335 4.706 2.523
Fe 5.963 1.778 0.841
Rb 3.556 7.113 1.682
Rb 3.556 3.556 0.000
Re 7.113 3.556 1.682
Re 0.000 0.000 0.000



Entry 11:
8
Lattice="-13.103 0.602 0.598 -0.847 -9.770 -8.732 -6.968 -6.074 -2.401" Properties=species:S:1:pos:R:3 comment="PBE Rb2FeRe, optimized geometry" e_form_mev_per_atom=1559.6 density_g_cm3=3.6 de_polymorph_mev_per_atom=0 e_tot_ev_per_fu=-16.61 spacegroup="I-42d (122)" pbc="T T T"
Fe -7.395 -10.214 -7.600
Fe -6.975 -4.584 -4.067
Re -13.523 -5.028 -2.935
Re 0.000 0.000 0.000
Rb -6.442 -7.433 -5.867
Rb -10.621 -9.881 -6.538
Rb -7.505 -2.480 -1.434
Rb -17.268 -10.689 -7.230



Entry 12:
5
Lattice="6.531 0.000 0.000 0.000 4.372 0.000 0.000 0.000 6.531" Properties=species:S:1:pos:R:3 comment="PBE Rb2FeReRu, optimized geometry" e_form_mev_per_atom=2276.4 density_g_cm3=4.6 e_tot_ev_per_fu=-20.74 spacegroup="P4/mmm (123)" pbc="T T T"
Re 0.000 2.186 0.000
Ru 3.265 2.186 3.265
Rb 0.000 0.000 3.265
Rb 3.265 0.000 0.000
Fe 0.000 0.000 0.000



Entry 13:
6
Lattice="4.086 0.004 -0.010 -2.045 3.539 0.005 0.143 -2.030 11.652" Properties=species:S:1:pos:R:3 comment="PBE RbFeRh, optimized geometry" e_form_mev_per_atom=426.6 density_g_cm3=4.8 de_polymorph_mev_per_atom=40 e_tot_ev_per_fu=-15.50 spacegroup="P-1 (2)" pbc="T T T"
Rb 2.415 0.619 4.018
Rb 0.500 -0.242 8.472
Fe 2.549 -1.416 11.634
Fe 0.364 1.794 0.856
Rh 2.546 0.943 10.781
Rh -1.678 2.974 1.714



Entry 14:
6
Lattice="-2.444 -6.505 -0.777 3.824 -3.919 -0.537 1.853 1.250 5.027" Properties=species:S:1:pos:R:3 comment="PBE RbFeRh, optimized geometry" e_form_mev_per_atom=744.7 density_g_cm3=4.8 de_polymorph_mev_per_atom=358 e_tot_ev_per_fu=-14.55 spacegroup="C2 (5)" pbc="T T T"
Rh 2.124 -9.090 1.540
Rh 3.680 -1.293 4.207
Rb 2.847 -5.582 0.650
Rb 1.191 -3.972 3.700
Fe 0.343 -8.250 0.339
Fe 2.076 -0.542 2.730



Entry 15:
6
Lattice="4.290 -0.050 -0.396 -4.200 7.991 0.401 0.447 -0.275 4.877" Properties=species:S:1:pos:R:3 comment="PBE RbFeRh, optimized geometry" e_form_mev_per_atom=446.5 density_g_cm3=4.8 de_polymorph_mev_per_atom=60 e_tot_ev_per_fu=-15.44 spacegroup="Pm (6)" pbc="T T T"
Rh 1.348 0.205 1.201
Rh -0.597 7.061 2.729
Rb -0.607 2.375 3.200
Rb 1.356 4.894 0.717
Fe -0.812 7.770 0.313
Fe -2.637 7.491 4.017



Entry 16:
12
Lattice="-5.445 3.768 -4.948 -2.889 -2.054 1.616 -1.315 7.457 7.125" Properties=species:S:1:pos:R:3 comment="PBE RbFeRh, optimized geometry" e_form_mev_per_atom=667.9 density_g_cm3=4.8 de_polymorph_mev_per_atom=281 e_tot_ev_per_fu=-14.78 spacegroup="Pnma (62)" pbc="T T T"
Fe -6.732 7.886 5.029
Fe -6.186 6.261 -0.755
Fe -3.464 2.910 4.548
Fe -2.918 1.285 -1.236
Rh -2.254 3.296 2.507
Rh -5.120 6.527 6.183
Rh -7.396 5.875 1.286
Rh -4.529 2.644 -2.390
Rb -7.107 9.308 1.469
Rb -5.464 2.871 0.923
Rb -4.186 6.300 2.870
Rb -2.543 -0.137 2.324



Entry 17:
4
Lattice="-3.719 -0.098 2.761 -3.129 3.411 -0.207 -4.195 -0.811 -1.792" Properties=species:S:1:pos:R:3 comment="PBE RbFe2Rh, optimized geometry" e_form_mev_per_atom=1286.0 density_g_cm3=7.1 de_polymorph_mev_per_atom=267 e_tot_ev_per_fu=-20.10 spacegroup="Fm-3m (225)" pbc="T T T"
Rh -5.522 1.251 0.381
Fe -8.283 1.877 0.571
Fe -2.761 0.626 0.190
Rb 0.000 0.000 0.000



Entry 18:
6
Lattice="-1.024 -2.900 -2.879 -3.652 -7.287 8.717 -3.567 0.393 -2.208" Properties=species:S:1:pos:R:3 comment="PBE RbFeRh, optimized geometry" e_form_mev_per_atom=402.2 density_g_cm3=4.5 de_polymorph_mev_per_atom=16 e_tot_ev_per_fu=-15.58 spacegroup="Cm (8)" pbc="T T T"
Rb -4.997 -3.016 -1.146
Rb -5.655 -4.522 3.773
Rh -6.676 -8.208 4.759
Rh -2.321 -0.963 -1.085
Fe -4.822 -7.032 6.003
Fe -1.434 -2.625 -2.807



Entry 19:
3
Lattice="-3.660 -1.282 0.484 2.717 -2.369 -1.509 1.354 -1.850 5.342" Properties=species:S:1:pos:R:3 comment="PBE RbFeRh, optimized geometry" e_form_mev_per_atom=885.3 density_g_cm3=5.3 de_polymorph_mev_per_atom=499 e_tot_ev_per_fu=-14.13 spacegroup="P-6m2 (187)" pbc="T T T"
Rh -1.534 -1.644 -0.180
Rb 0.677 -0.925 2.671
Fe 0.591 -2.007 -0.845



Entry 20:
6
Lattice="4.848 0.000 0.000 0.000 4.277 0.000 0.000 0.000 9.309" Properties=species:S:1:pos:R:3 comment="PBE RbFeRh, optimized geometry" e_form_mev_per_atom=437.9 density_g_cm3=4.2 de_polymorph_mev_per_atom=51 e_tot_ev_per_fu=-15.47 spacegroup="Pmm2 (25)" pbc="T T T"
Fe 3.591 0.000 8.928
Fe 1.257 0.000 8.928
Rh 2.424 2.138 8.103
Rh 0.000 2.138 8.891
Rb 0.000 0.000 5.869
Rb 2.424 2.138 2.254



Entry 21:
6
Lattice="3.622 0.004 0.002 1.812 4.054 -0.001 -0.545 1.916 11.732" Properties=species:S:1:pos:R:3 comment="PBE RbFeRh, optimized geometry" e_form_mev_per_atom=623.4 density_g_cm3=4.7 de_polymorph_mev_per_atom=237 e_tot_ev_per_fu=-14.91 spacegroup="P1 (1)" pbc="T T T"
Rb 1.811 3.195 8.597
Rb 0.543 1.275 3.986
Rh 3.623 4.640 11.171
Rh 2.356 2.724 1.413
Fe -0.002 2.401 11.516
Fe 2.354 0.488 1.068



Entry 22:
8
Lattice="5.067 0.000 0.000 0.000 5.067 0.000 2.534 2.534 8.338" Properties=species:S:1:pos:R:3 comment="PBE RbFe2Rh, optimized geometry" e_form_mev_per_atom=1019.5 density_g_cm3=4.7 de_polymorph_mev_per_atom=0 e_tot_ev_per_fu=-21.17 spacegroup="I4_1/amd (141)" pbc="T T T"
Fe 5.069 3.801 2.084
Fe 5.065 1.267 2.084
Fe 6.334 2.532 6.253
Fe 3.801 2.536 6.253
Rb 2.534 2.534 0.000
Rb 2.534 5.067 4.169
Rh 0.000 0.000 0.000
Rh 5.067 2.534 4.169



Entry 23:
6
Lattice="4.001 -2.310 0.000 0.000 4.619 0.000 0.000 0.000 7.905" Properties=species:S:1:pos:R:3 comment="PBE RbFeRh, optimized geometry" e_form_mev_per_atom=1265.0 density_g_cm3=5.6 de_polymorph_mev_per_atom=878 e_tot_ev_per_fu=-12.99 spacegroup="P-6m2 (187)" pbc="T T T"
Rb 2.667 0.000 0.000
Rb 2.667 0.000 3.953
Rh 0.000 0.000 1.268
Rh 0.000 0.000 6.637
Fe 1.334 2.310 1.043
Fe 1.334 2.310 6.863



Entry 24:
6
Lattice="-2.908 3.862 0.888 -1.191 1.156 4.679 6.774 7.333 3.910" Properties=species:S:1:pos:R:3 comment="PBE RbFeRh, optimized geometry" e_form_mev_per_atom=421.4 density_g_cm3=3.8 de_polymorph_mev_per_atom=35 e_tot_ev_per_fu=-15.52 spacegroup="C2/m (12)" pbc="T T T"
Fe -0.890 1.484 3.442
Fe -2.343 3.415 3.886
Rh 6.174 8.015 4.991
Rh -1.445 3.060 1.569
Rb 0.858 3.787 5.955
Rb 2.680 8.444 5.291



Entry 25:
6
Lattice="-2.075 -0.608 3.913 -10.341 -6.221 0.147 0.452 -4.394 0.682" Properties=species:S:1:pos:R:3 comment="PBE RbFeRh, optimized geometry" e_form_mev_per_atom=438.8 density_g_cm3=4.2 de_polymorph_mev_per_atom=52 e_tot_ev_per_fu=-15.47 spacegroup="P-1 (2)" pbc="T T T"
Fe -2.421 -3.296 4.184
Fe -10.036 -7.318 2.381
Rb -7.526 -4.397 1.141
Rb -2.859 -5.612 1.517
Rh -10.844 -9.598 2.763
Rh -11.954 -7.237 3.949



Entry 26:
6
Lattice="4.477 0.000 0.000 0.618 10.702 0.000 1.601 0.751 4.110" Properties=species:S:1:pos:R:3 comment="PBE RbFeRh, optimized geometry" e_form_mev_per_atom=596.8 density_g_cm3=4.1 de_polymorph_mev_per_atom=210 e_tot_ev_per_fu=-14.99 spacegroup="P1 (1)" pbc="T T T"
Fe 1.291 9.640 0.391
Fe 4.330 10.011 2.445
Rb 2.085 7.418 2.926
Rb 3.715 2.802 1.796
Rh 2.092 10.881 2.287
Rh 3.529 10.495 0.233